[1]
VASP calculation (PBE-GGA) on crystalline V2ZnS at its relaxed geometry.

Cell: 5.960 5.960 5.960 Å, 90.00 90.00 90.00°
Space group Fm-3m (No. 225)
Asymmetric unit:
V: 0.250 0.250 0.250
Zn: 0.000 0.000 0.000
S: 0.000 0.000 0.500

## Properties
Formation energy (no corrections), meV per atom: 124

[2]
VASP calculation (PBE-GGA) on crystalline V2ZnS4 at its relaxed geometry.

Cell: 7.164 9.777 7.212 Å, 90.00 90.00 90.00°
Space group Ima2 (No. 46)
Asymmetric unit:
V: 0.000 0.000 0.000
V: 0.250 0.226 0.784
Zn: 0.250 0.626 0.985
S: 0.023 0.246 0.027
S: 0.250 0.019 0.233
S: 0.250 0.514 0.277

## Properties
Formation energy (no corrections), meV per atom: -850

[3]
VASP calculation (PBE-GGA) on crystalline V4ZnS8 at its relaxed geometry.

Cell: 6.8636 6.8636 17.2071 Å, 90.00 90.00 120.00°
Space group R-3m (No. 166, hexagonal axes)
Asymmetric unit:
V: 0.0000 0.0000 0.0000
V: 0.0000 0.5000 0.5000
Zn: 0.0000 0.0000 0.5000
S: 0.0000 0.0000 0.2458
S: 0.0090 0.5045 0.7512

## Properties
Formation energy (no corrections), meV per atom: -730
Offset from the most stable computed form, eV/atom: 0.148

[4]
VASP calculation (PBE-GGA) on crystalline ZrVS at its relaxed geometry.

Cell: 3.308 15.773 3.931 Å, 90.00 90.00 90.00°
Space group Cmcm (No. 63)
Asymmetric unit:
Zr: 0.000 0.136 0.250
V: 0.000 0.474 0.250
S: 0.000 0.318 0.250

## Properties
Formation energy (no corrections), meV per atom: -762

no.,VASP energy (Ry per atom)
1,-0.425
2,-0.441
3,-0.454
4,-0.590